1.
## Si2SbI (PBE)

Data for an optimized crystal structure of Si2SbI.

```
data_Si2SbI
_chemical_formula_sum 'Si4 Sb2 I2'
_cell_length_a 7.4944
_cell_length_b 7.4944
_cell_length_c 6.7213
_cell_angle_alpha 56.12
_cell_angle_beta 56.12
_cell_angle_gamma 90.00
_space_group_name_H-M_alt 'P 1'
_space_group_IT_number 1
loop_
_space_group_symop_operation_xyz
'x,y,z'
loop_
_atom_site_label
_atom_site_fract_x
_atom_site_fract_y
_atom_site_fract_z
I1 0.0000 0.0000 0.0000
I2 0.7500 0.2500 0.5000
Sb1 0.5000 0.5000 0.0000
Sb2 0.2500 0.7500 0.5000
Si1 0.5935 0.1250 0.2500
Si2 0.1565 0.6250 0.2500
Si3 0.3750 0.4065 0.7500
Si4 0.8750 0.8435 0.7500
```

Summary:
The value obtained for the energy is -3.48 eV/atom. The value obtained for the uncorrected formation energy is 0.65 eV per atom.

2.
## Li5Hg2PtAu2 (PBE)

Data for an optimized crystal structure of Li5Hg2PtAu2.

```
data_Li5Hg2PtAu2
_chemical_formula_sum 'Li10 Hg4 Pt2 Au4'
_cell_length_a 2.8387
_cell_length_b 11.1927
_cell_length_c 11.1927
_cell_angle_alpha 90.00
_cell_angle_beta 90.00
_cell_angle_gamma 90.00
_space_group_name_H-M_alt 'P 1'
_space_group_IT_number 1
loop_
_space_group_symop_operation_xyz
'x,y,z'
loop_
_atom_site_label
_atom_site_fract_x
_atom_site_fract_y
_atom_site_fract_z
Li1 0.5000 0.1920 0.0299
Li2 0.5000 0.8080 0.9701
Li3 0.5000 0.0299 0.8080
Li4 0.5000 0.6920 0.4701
Li5 0.5000 0.9701 0.1920
Li6 0.5000 0.3080 0.5299
Li7 0.5000 0.5299 0.6920
Li8 0.5000 0.4701 0.3080
Li9 0.5000 0.5000 0.0000
Li10 0.5000 0.0000 0.5000
Hg1 0.0000 0.6705 0.1705
Hg2 0.0000 0.3295 0.8295
Hg3 0.0000 0.1705 0.3295
Hg4 0.0000 0.8295 0.6705
Pt1 0.0000 0.0000 0.0000
Pt2 0.0000 0.5000 0.5000
Au1 0.0000 0.1406 0.6406
Au2 0.0000 0.8594 0.3594
Au3 0.0000 0.6406 0.8594
Au4 0.0000 0.3594 0.1406
```

Summary:
The value obtained for the energy is -2.67 eV/atom. The calculation puts the calculated formation energy at -0.3906 eV per atom.

3.
## TiTcP (PBE)

Data for an optimized crystal structure of TiTcP.

```
data_TiTcP
_chemical_formula_sum 'Ti4 Tc4 P4'
_cell_length_a 4.0339
_cell_length_b 3.1279
_cell_length_c 13.7062
_cell_angle_alpha 90.00
_cell_angle_beta 97.89
_cell_angle_gamma 90.00
_space_group_name_H-M_alt 'P 1'
_space_group_IT_number 1
loop_
_space_group_symop_operation_xyz
'x,y,z'
loop_
_atom_site_label
_atom_site_fract_x
_atom_site_fract_y
_atom_site_fract_z
Ti1 0.4804 0.0000 0.0348
Ti2 0.4804 0.5000 0.5348
Ti3 0.1775 0.0000 0.2122
Ti4 0.1775 0.5000 0.7122
Tc1 0.9329 0.0000 0.3923
Tc2 0.9329 0.5000 0.8923
Tc3 0.6849 0.0000 0.7162
Tc4 0.6849 0.5000 0.2162
P1 0.0055 0.0000 0.5687
P2 0.0055 0.5000 0.0687
P3 0.3755 0.0000 0.8584
P4 0.3755 0.5000 0.3584
```

Summary:
The value obtained for the energy is -8.57 eV/atom. The calculation puts the calculated formation energy at -0.6828 eV per atom.

4.
## Tm10In20Ni9 (PBE)

Data for an optimized crystal structure of Tm10In20Ni9.

```
data_Tm10In20Ni9
_chemical_formula_sum 'Tm20 In40 Ni18'
_cell_length_a 13.3104
_cell_length_b 13.3104
_cell_length_c 9.1777
_cell_angle_alpha 90.00
_cell_angle_beta 90.00
_cell_angle_gamma 90.00
_space_group_name_H-M_alt 'P 1'
_space_group_IT_number 1
loop_
_space_group_symop_operation_xyz
'x,y,z'
loop_
_atom_site_label
_atom_site_fract_x
_atom_site_fract_y
_atom_site_fract_z
Tm1 0.5000 0.0000 0.3607
Tm2 0.0000 0.5000 0.6393
Tm3 0.5000 0.0000 0.8330
Tm4 0.0000 0.5000 0.1670
Tm5 0.5000 0.2767 0.7677
Tm6 0.5000 0.7233 0.7677
Tm7 0.7767 0.0000 0.7677
Tm8 0.2233 0.0000 0.7677
Tm9 0.0000 0.2233 0.2323
Tm10 0.0000 0.7767 0.2323
Tm11 0.7233 0.5000 0.2323
Tm12 0.2767 0.5000 0.2323
Tm13 0.7032 0.2032 0.2681
Tm14 0.7032 0.7968 0.2681
Tm15 0.2968 0.2032 0.2681
Tm16 0.2968 0.7968 0.2681
Tm17 0.7968 0.2968 0.7319
Tm18 0.7968 0.7032 0.7319
Tm19 0.2032 0.2968 0.7319
Tm20 0.2032 0.7032 0.7319
In1 0.3451 0.6549 0.0000
In2 0.3451 0.3451 0.0000
In3 0.6549 0.6549 0.0000
In4 0.6549 0.3451 0.0000
In5 0.1549 0.8451 0.0000
In6 0.1549 0.1549 0.0000
In7 0.8451 0.8451 0.0000
In8 0.8451 0.1549 0.0000
In9 0.8689 0.1311 0.5000
In10 0.8689 0.8689 0.5000
In11 0.1311 0.1311 0.5000
In12 0.1311 0.8689 0.5000
In13 0.6311 0.3689 0.5000
In14 0.6311 0.6311 0.5000
In15 0.3689 0.3689 0.5000
In16 0.3689 0.6311 0.5000
In17 0.5000 0.8337 0.0913
In18 0.5000 0.1663 0.0913
In19 0.3337 0.0000 0.0913
In20 0.6663 0.0000 0.0913
In21 0.0000 0.6663 0.9087
In22 0.0000 0.3337 0.9087
In23 0.1663 0.5000 0.9087
In24 0.8337 0.5000 0.9087
In25 0.6319 0.1319 0.5893
In26 0.6319 0.8681 0.5893
In27 0.3681 0.1319 0.5893
In28 0.3681 0.8681 0.5893
In29 0.8681 0.3681 0.4107
In30 0.8681 0.6319 0.4107
In31 0.1319 0.3681 0.4107
In32 0.1319 0.6319 0.4107
In33 0.5000 0.6157 0.2358
In34 0.5000 0.3843 0.2358
In35 0.1157 0.0000 0.2358
In36 0.8843 0.0000 0.2358
In37 0.0000 0.8843 0.7642
In38 0.0000 0.1157 0.7642
In39 0.3843 0.5000 0.7642
In40 0.6157 0.5000 0.7642
Ni1 0.5000 0.5000 0.0000
Ni2 0.0000 0.0000 0.0000
Ni3 0.5000 0.7792 0.4053
Ni4 0.5000 0.2208 0.4053
Ni5 0.2792 0.0000 0.4053
Ni6 0.7208 0.0000 0.4053
Ni7 0.0000 0.7208 0.5947
Ni8 0.0000 0.2792 0.5947
Ni9 0.2208 0.5000 0.5947
Ni10 0.7792 0.5000 0.5947
Ni11 0.8448 0.3448 0.1073
Ni12 0.8448 0.6552 0.1073
Ni13 0.1552 0.3448 0.1073
Ni14 0.1552 0.6552 0.1073
Ni15 0.6552 0.1552 0.8927
Ni16 0.6552 0.8448 0.8927
Ni17 0.3448 0.1552 0.8927
Ni18 0.3448 0.8448 0.8927
```

Summary:
The value obtained for the energy is -4.31 eV/atom. The calculation puts the calculated formation energy at -0.4223 eV per atom.